Ba2CdSn2Hg4 | PBE | relaxed

Lattice parameters (Å, degrees): 7.357 7.357 7.357 120.68 120.68 88.82
Fractional positions:
Ba  0.250  0.750  0.500
Ba  0.750  0.250  0.500
Cd  0.000  0.000  0.000
Sn  0.301  0.301  0.000
Sn  0.699  0.699  0.000
Hg  0.279  0.279  0.557
Hg  0.279  0.721  0.000
Hg  0.721  0.279  0.000
Hg  0.721  0.721  0.443

The total magnetic moment is 0.00 μB/f.u. The calculation puts the formation energy at -363 meV per atom. The space-group type is I4/mmm (139). Its density of states at the Fermi level is 0.42 states/eV/atom.